# 1
This record from the Alexandria database describes a relaxed structure of CrNiOs. The functional is PBE.

As for the energy: -8.402 eV per atom. The value obtained for the density is 11.65 Mg/m³. Its formation enthalpy at 0 K is 0.4764 eV/atom. For the energy above the most stable polymorph in this dataset, the calculation gives 118 kJ/mol of formula units.

abc: 5.556 5.556 5.556
angles: 90.00 90.00 90.00
Space group F-43m (No. 216)
Unique sites:
Cr (0.000, 0.000, 0.000) x4
Ni (0.250, 0.250, 0.750) x4
Os (0.250, 0.250, 0.250) x4



# 2
This record from the Alexandria database describes a relaxed structure of Cr2NiOs2. The functional is PBE.

As for the energy: -9.191 eV per atom. The value obtained for the density is 13.31 Mg/m³. Its formation enthalpy at 0 K is 0.3070 eV/atom. For the energy above the most stable polymorph in this dataset, the calculation gives 4 kJ/mol of formula units.

abc: 7.056 7.056 2.722
angles: 90.00 90.00 90.00
Space group P4/mbm (No. 127)
Unique sites:
Cr (0.136, 0.364, 0.000) x4
Ni (0.000, 0.000, 0.000) x2
Os (0.160, 0.660, 0.500) x4



# 3
This record from the Alexandria database describes a relaxed structure of CrNiOs. The functional is PBE.

As for the energy: -8.779 eV per atom. The value obtained for the density is 13.34 Mg/m³. Its formation enthalpy at 0 K is 0.0995 eV/atom. For the energy above the most stable polymorph in this dataset, the calculation gives 8 kJ/mol of formula units.

abc: 3.575 11.385 3.681
angles: 90.00 90.00 90.00
Space group Cmcm (No. 63)
Unique sites:
Cr (0.000, 0.085, 0.250) x4
Ni (0.000, 0.250, 0.750) x4
Os (0.000, 0.413, 0.250) x4